This record from Alexandria via LeMat-Bulk describes an optimized crystal structure of PbWCl2. The functional is PBE-GGA.

Structure (POSCAR):
```
PbWCl2
1.0
3.418 0.000 0.000
0.000 4.348 0.000
-0.971 0.000 5.648
Pb W Cl
1 1 2
Direct
0.000 0.000 0.000
0.500 0.000 0.500
0.373 0.500 0.717
0.627 0.500 0.283
```

Summary:
Space group ... P2/m, No. 10
E ... -4.704 eV/atom
Fermi-level density of states ... 0.62 states/eV/atom
Relative energy among the computed polymorphs ... 395 meV/atom
E_form (uncorrected) ... 37.14 kJ/mol of atoms

This record from Alexandria via LeMat-Bulk describes an optimized crystal structure of PbWCl2. The functional is PBE-GGA.

Structure (POSCAR):
```
PbWCl2
1.0
3.070 0.000 0.000
0.000 3.070 0.000
0.000 0.000 10.423
Pb W Cl
1 1 2
Direct
0.000 0.000 0.000
0.000 0.000 0.500
0.500 0.500 0.358
0.500 0.500 0.642
```

Summary:
Space group ... P4/mmm, No. 123
E ... -4.640 eV/atom
Fermi-level density of states ... 0.90 states/eV/atom
Relative energy among the computed polymorphs ... 459 meV/atom
E_form (uncorrected) ... 43.34 kJ/mol of atoms

This record from Alexandria via LeMat-Bulk describes an optimized crystal structure of PbWCl2. The functional is PBE-GGA.

Structure (POSCAR):
```
PbWCl2
1.0
5.582 -1.538 0.000
5.582 1.538 0.000
-2.909 0.000 5.961
Pb W Cl
1 1 2
Direct
0.000 0.000 0.000
0.722 0.722 0.000
0.183 0.183 0.689
0.345 0.345 0.310
```

Summary:
Space group ... Cm, No. 8
E ... -5.098 eV/atom
Fermi-level density of states ... 0.64 states/eV/atom
Relative energy among the computed polymorphs ... 0 meV/atom
E_form (uncorrected) ... -0.93 kJ/mol of atoms

This record from Alexandria via LeMat-Bulk describes an optimized crystal structure of PbWCl2. The functional is PBE-GGA.

Structure (POSCAR):
```
PbWCl2
1.0
3.157 -4.732 0.000
3.157 4.732 0.000
-1.729 0.000 2.888
Pb W Cl
1 1 2
Direct
0.000 0.000 0.000
0.500 0.500 0.000
0.000 0.500 0.500
0.500 0.000 0.500
```

Summary:
Space group ... C2/m, No. 12
E ... -4.484 eV/atom
Fermi-level density of states ... 0.59 states/eV/atom
Relative energy among the computed polymorphs ... 614 meV/atom
E_form (uncorrected) ... 58.32 kJ/mol of atoms

This record from Alexandria via LeMat-Bulk describes an optimized crystal structure of PbWCl3. The functional is PBE-GGA.

Structure (POSCAR):
```
PbWCl3
1.0
5.589 0.000 0.000
0.000 5.589 0.000
0.000 0.000 5.589
Pb W Cl
1 1 3
Direct
0.000 0.000 0.000
0.500 0.500 0.500
0.000 0.000 0.500
0.000 0.500 0.000
0.500 0.000 0.000
```

Summary:
Space group ... Pm-3m, No. 221
E ... -3.736 eV/atom
Fermi-level density of states ... 3.26 states/eV/atom
Relative energy among the computed polymorphs ... 549 meV/atom
E_form (uncorrected) ... 67.99 kJ/mol of atoms

This record from Alexandria via LeMat-Bulk describes an optimized crystal structure of PbWCl. The functional is PBE-GGA.

Structure (POSCAR):
```
PbWCl
1.0
0.000 3.322 3.322
3.322 0.000 3.322
3.322 3.322 0.000
Pb W Cl
1 1 1
Direct
0.000 0.000 0.000
0.750 0.750 0.750
0.500 0.500 0.500
```

Summary:
Space group ... F-43m, No. 216
E ... -4.971 eV/atom
Fermi-level density of states ... 1.55 states/eV/atom
Relative energy among the computed polymorphs ... 891 meV/atom
E_form (uncorrected) ... 115.66 kJ/mol of atoms

This record from Alexandria via LeMat-Bulk describes an optimized crystal structure of PbWCl. The functional is PBE-GGA.

Structure (POSCAR):
```
PbWCl
1.0
0.000 2.764 8.375
1.543 0.000 8.375
1.543 2.764 0.000
Pb W Cl
1 1 1
Direct
0.000 0.000 0.000
0.344 0.344 0.656
0.732 0.732 0.268
```

Summary:
Space group ... Fmm2, No. 42
E ... -5.700 eV/atom
Fermi-level density of states ... 0.85 states/eV/atom
Relative energy among the computed polymorphs ... 161 meV/atom
E_form (uncorrected) ... 45.27 kJ/mol of atoms

This record from Alexandria via LeMat-Bulk describes an optimized crystal structure of PbWCl2. The functional is PBE-GGA.

Structure (POSCAR):
```
PbWCl2
1.0
1.520 -2.919 0.000
1.520 2.919 0.000
0.000 0.000 11.983
Pb W Cl
1 1 2
Direct
0.000 0.000 0.000
0.000 0.000 0.500
0.500 0.500 0.340
0.500 0.500 0.660
```

Summary:
Space group ... Cmmm, No. 65
E ... -4.982 eV/atom
Fermi-level density of states ... 0.52 states/eV/atom
Relative energy among the computed polymorphs ... 117 meV/atom
E_form (uncorrected) ... 10.32 kJ/mol of atoms